Sr12CdAg5, optimized geometry, DFT GGA-PBE; N(E_F) = 15.64 states/eV per cell; V = 38.77 Å³/atom; calculated formation energy = -0.205 eV/atom; calculated total energy = -2.1687 eV/atom
1.0
-6.821 1.308 6.771
0.041 -9.176 -3.143
9.008 1.447 3.292
Ag Sr Cd
5 12 1
direct
0.000 0.000 0.000
0.661 0.661 0.000
0.500 0.122 0.622
0.339 0.339 0.000
0.500 0.878 0.378
0.306 0.332 0.639
0.190 0.432 0.242
0.457 0.179 0.279
0.543 0.821 0.721
0.306 0.668 0.974
0.810 0.052 0.242
0.694 0.668 0.361
0.190 0.948 0.758
0.810 0.568 0.758
0.100 0.821 0.279
0.694 0.332 0.026
0.900 0.179 0.721
0.000 0.500 0.500